1.
DFT (GGA-PBE) results for a relaxed LaReW2 crystal.

The structure belongs to space group R3m (No. 160, hexagonal axes); the cell edges are 2.9803, 2.9803 and 29.4539 Å and the angles 90.00°, 90.00° and 120.00°. The inequivalent atoms are La at (0.0000, 0.0000, 0.0000), Re at (0.0000, 0.0000, 0.2392), W at (0.0000, 0.0000, 0.5040) and W at (0.0000, 0.0000, 0.7624).

Its energy above the most stable polymorph in this dataset is 1.004 eV/f.u. Its formation energy is 0.682 eV/atom.



2.
DFT (GGA-PBE) results for a relaxed Dy3MgTl crystal.

The structure belongs to space group C2/c (No. 15); the cell edges are 15.6851, 6.2166 and 11.8900 Å and the angles 90.00°, 98.30° and 90.00°. The inequivalent atoms are Dy at (0.0945, 0.1504, 0.3257), Dy at (0.1017, 0.3925, 0.0370), Dy at (0.2183, 0.3669, 0.8017), Mg at (0.0773, 0.1019, 0.5915), Tl at (0.0000, 0.3877, 0.7500) and Tl at (0.2500, 0.2500, 0.5000).

Its energy above the most stable polymorph in this dataset is 0.510 eV/f.u. Its formation energy is -0.078 eV/atom.



3.
DFT (GGA-PBE) results for a relaxed AcGeIrF crystal.

The structure belongs to space group P4/nmm (No. 129, origin choice 2); the cell edges are 4.2431, 4.2431 and 8.7206 Å and the angles 90.00°, 90.00° and 90.00°. The inequivalent atoms are Ac at (0.2500, 0.2500, 0.1893), Ge at (0.2500, 0.2500, 0.6547), Ir at (0.2500, 0.7500, 0.5000) and F at (0.2500, 0.7500, 0.0000).

The calculation puts the uncorrected formation energy at -1880 meV per atom.



4.
DFT (GGA-PBE) results for a relaxed Sc3Ru2Pb crystal.

The structure belongs to space group P4/mmm (No. 123); the cell edges are 3.2843, 3.2843 and 10.6849 Å and the angles 90.00°, 90.00° and 90.00°. The inequivalent atoms are Sc at (0.0000, 0.0000, 0.0000), Sc at (0.0000, 0.0000, 0.2894), Ru at (0.5000, 0.5000, 0.1527) and Pb at (0.5000, 0.5000, 0.5000).

Its formation energy is -0.538 eV/atom.



5.
DFT (GGA-PBE) results for a relaxed Mn3Te4 crystal.

The structure belongs to space group Fd-3m (No. 227, origin choice 2); the cell edges are 11.6342, 11.6342 and 11.6342 Å and the angles 90.00°, 90.00° and 90.00°. The inequivalent atoms are Mn at (0.0000, 0.0000, 0.0000), Mn at (0.1250, 0.1250, 0.6250) and Te at (0.0085, 0.0085, 0.2415).

The calculation puts the uncorrected formation energy at -121 meV per atom.



6.
DFT (GGA-PBE) results for a relaxed NaAc2Mg3Pb4 crystal.

The structure belongs to space group P-4m2 (No. 115); the cell edges are 4.9993, 4.9993 and 12.1375 Å and the angles 90.00°, 90.00° and 90.00°. The inequivalent atoms are Na at (0.0000, 0.0000, 0.0000), Ac at (0.0000, 0.5000, 0.7348), Mg at (0.0000, 0.5000, 0.3736), Mg at (0.5000, 0.5000, 0.0000), Pb at (0.0000, 0.0000, 0.5000), Pb at (0.0000, 0.5000, 0.1460) and Pb at (0.5000, 0.5000, 0.5000).

Its formation energy is -0.299 eV/atom.



7.
DFT (GGA-PBE) results for a relaxed Rb2LiSbPd crystal.

The structure belongs to space group P4/mmm (No. 123); the cell edges are 7.0960, 7.0960 and 4.9748 Å and the angles 90.00°, 90.00° and 90.00°. The inequivalent atoms are Rb at (0.0000, 0.5000, 0.0000), Li at (0.0000, 0.0000, 0.5000), Sb at (0.5000, 0.5000, 0.0000) and Pd at (0.5000, 0.5000, 0.5000).

The calculation puts the uncorrected formation energy at 73 meV per atom.



8.
DFT (GGA-PBE) results for a relaxed BaSc2As crystal.

The structure belongs to space group F-43m (No. 216); the cell edges are 7.5452, 7.5452 and 7.5452 Å and the angles 90.00°, 90.00° and 90.00°. The inequivalent atoms are Ba at (0.0000, 0.0000, 0.0000), Sc at (0.0000, 0.0000, 0.5000), Sc at (0.2500, 0.2500, 0.7500) and As at (0.2500, 0.2500, 0.2500).

Its formation energy is 0.034 eV/atom.



9.
DFT (GGA-PBE) results for a relaxed PaReCl2O6 crystal.

The structure belongs to space group C2/m (No. 12); the cell edges are 9.7620, 6.4244 and 5.2117 Å and the angles 90.00°, 121.94° and 90.00°. The inequivalent atoms are Pa at (0.0000, 0.0000, 0.0000), Re at (0.0000, 0.5000, 0.5000), Cl at (0.2042, 0.0000, 0.7066), O at (0.0012, 0.2907, 0.2515) and O at (0.2357, 0.5000, 0.7357).

The calculation puts the uncorrected formation energy at -1576 meV per atom.



10.
DFT (GGA-PBE) results for a relaxed Li2TaSi crystal.

The structure belongs to space group C2/m (No. 12); the cell edges are 5.2949, 10.1106 and 2.7178 Å and the angles 90.00°, 119.06° and 90.00°. The inequivalent atoms are Li at (0.2500, 0.2500, 0.0000), Ta at (0.0000, 0.0000, 0.5000) and Si at (0.0000, 0.5000, 0.5000).

The calculation puts the uncorrected formation energy at 29 meV per atom.



11.
DFT (GGA-PBE) results for a relaxed RbLiUSe3 crystal.

The structure belongs to space group P2_1/m (No. 11); the cell edges are 9.3613, 4.2601 and 9.7545 Å and the angles 90.00°, 108.49° and 90.00°. The inequivalent atoms are Rb at (0.2094, 0.2500, 0.2558), Li at (0.0796, 0.2500, 0.5959), U at (0.3223, 0.7500, 0.8462), Se at (0.1301, 0.2500, 0.8696), Se at (0.2051, 0.7500, 0.5481) and Se at (0.4699, 0.7500, 0.1545).

The calculation puts the uncorrected formation energy at -1271 meV per atom.



12.
DFT (GGA-PBE) results for a relaxed Th3BeGa2Ni6 crystal.

The structure belongs to space group P-3m1 (No. 164); the cell edges are 5.4099, 5.4099 and 8.1101 Å and the angles 90.00°, 90.00° and 120.00°. The inequivalent atoms are Th at (0.0000, 0.0000, 0.0000), Th at (0.3333, 0.6667, 0.6883), Be at (0.0000, 0.0000, 0.5000), Ga at (0.3333, 0.6667, 0.0901) and Ni at (0.1723, 0.3447, 0.3350).

Its formation energy is -0.411 eV/atom.



For the records above, the corresponding DFT total energy values read -10.14, -3.63, -6.74, -7.41, -5.85, -3.21, -2.56, -4.77, -7.11, -5.25, -5.37, -5.97 eV per atom.